# SmMgRh

An optimized crystal structure of SmMgRh (PBE-GGA, Alexandria).

abc: 6.3141 6.3141 6.3141
angles: 149.16 149.16 44.18
Sites, in units of the cell vectors:
Sm 0.0000 0.0000 0.0000
Mg 0.7271 0.7271 0.0000
Rh 0.3526 0.3526 0.0000

# Sm5MgRh6

An optimized crystal structure of Sm5MgRh6 (PBE-GGA, Alexandria).

abc: 8.4305 8.4305 4.8628
angles: 106.67 106.67 48.46
Sites, in units of the cell vectors:
Sm 0.0000 0.0000 0.0000
Sm 0.1713 0.1713 0.6713
Sm 0.3454 0.3454 0.3451
Sm 0.6546 0.6546 0.6549
Sm 0.8287 0.8287 0.3287
Mg 0.5000 0.5000 0.0000
Rh 0.0848 0.5852 0.8346
Rh 0.2432 0.7568 0.5000
Rh 0.4148 0.9152 0.1654
Rh 0.5852 0.0848 0.8346
Rh 0.7568 0.2432 0.5000
Rh 0.9152 0.4148 0.1654

# Sm3Mg9Rh2

An optimized crystal structure of Sm3Mg9Rh2 (PBE-GGA, Alexandria).

abc: 8.4946 8.4946 8.4946
angles: 146.07 101.84 88.00
Sites, in units of the cell vectors:
Sm 0.0000 0.0000 0.0000
Sm 0.3075 0.3075 0.0000
Sm 0.6925 0.6925 0.0000
Mg 0.0081 0.3686 0.6395
Mg 0.1529 0.8731 0.2797
Mg 0.2710 0.6314 0.6395
Mg 0.4066 0.1269 0.2797
Mg 0.5000 0.0000 0.5000
Mg 0.5934 0.8731 0.7203
Mg 0.7290 0.3686 0.3605
Mg 0.8471 0.1269 0.7203
Mg 0.9919 0.6314 0.3605
Rh 0.3475 0.5000 0.8475
Rh 0.6525 0.5000 0.1525

# Sm2MgRh3

An optimized crystal structure of Sm2MgRh3 (PBE-GGA, Alexandria).

abc: 4.7859 4.7859 11.7464
angles: 90.00 90.00 120.00
Sites, in units of the cell vectors:
Sm 0.0000 0.0000 0.0000
Sm 0.0000 0.0000 0.5000
Sm 0.3333 0.6667 0.1826
Sm 0.6667 0.3333 0.8174
Mg 0.3333 0.6667 0.6623
Mg 0.6667 0.3333 0.3377
Rh 0.0000 0.0000 0.2550
Rh 0.0000 0.0000 0.7450
Rh 0.3333 0.6667 0.4223
Rh 0.3333 0.6667 0.9111
Rh 0.6667 0.3333 0.0889
Rh 0.6667 0.3333 0.5777

# Sm3MgRh

An optimized crystal structure of Sm3MgRh (PBE-GGA, Alexandria).

abc: 9.6367 8.9005 5.9957
angles: 77.94 64.58 37.48
Sites, in units of the cell vectors:
Sm 0.1972 0.5832 0.4168
Sm 0.2035 0.2035 0.7965
Sm 0.4168 0.8028 0.1972
Sm 0.5832 0.1972 0.8028
Sm 0.7965 0.7965 0.2035
Sm 0.8028 0.4168 0.5832
Mg 0.2053 0.7947 0.7947
Mg 0.7947 0.2053 0.2053
Rh 0.2500 0.2500 0.2500
Rh 0.7500 0.7500 0.7500

# Sm4MgRh

An optimized crystal structure of Sm4MgRh (PBE-GGA, Alexandria).

abc: 9.8869 9.8869 9.8869
angles: 60.00 60.00 60.00
Sites, in units of the cell vectors:
Sm 0.0623 0.0623 0.4377
Sm 0.0623 0.4377 0.0623
Sm 0.0623 0.4377 0.4377
Sm 0.1861 0.1861 0.8139
Sm 0.1861 0.8139 0.1861
Sm 0.1861 0.8139 0.8139
Sm 0.2077 0.5974 0.5974
Sm 0.4377 0.0623 0.0623
Sm 0.4377 0.0623 0.4377
Sm 0.4377 0.4377 0.0623
Sm 0.5974 0.2077 0.5974
Sm 0.5974 0.5974 0.2077
Sm 0.5974 0.5974 0.5974
Sm 0.8139 0.1861 0.1861
Sm 0.8139 0.1861 0.8139
Sm 0.8139 0.8139 0.1861
Mg 0.5120 0.8293 0.8293
Mg 0.8293 0.5120 0.8293
Mg 0.8293 0.8293 0.5120
Mg 0.8293 0.8293 0.8293
Rh 0.3922 0.3922 0.3922
Rh 0.3922 0.3922 0.8234
Rh 0.3922 0.8234 0.3922
Rh 0.8234 0.3922 0.3922

# Sm3MgRh4

An optimized crystal structure of Sm3MgRh4 (PBE-GGA, Alexandria).

abc: 8.3829 8.3829 8.3829
angles: 33.49 33.49 33.49
Sites, in units of the cell vectors:
Sm 0.0000 0.0000 0.0000
Sm 0.2440 0.2440 0.2440
Sm 0.7560 0.7560 0.7560
Mg 0.5000 0.5000 0.5000
Rh 0.1248 0.1248 0.1248
Rh 0.3771 0.3771 0.3771
Rh 0.6229 0.6229 0.6229
Rh 0.8752 0.8752 0.8752

# Sm2Mg2SnRh5

An optimized crystal structure of Sm2Mg2SnRh5 (PBE-GGA, Alexandria).

abc: 10.1026 10.1026 3.5807
angles: 90.00 90.00 90.00
Sites, in units of the cell vectors:
Sm 0.1751 0.3249 0.0000
Sm 0.3249 0.8249 0.0000
Sm 0.6751 0.1751 0.0000
Sm 0.8249 0.6751 0.0000
Mg 0.1241 0.6241 0.0000
Mg 0.3759 0.1241 0.0000
Mg 0.6241 0.8759 0.0000
Mg 0.8759 0.3759 0.0000
Sn 0.0000 0.0000 0.0000
Sn 0.5000 0.5000 0.0000
Rh 0.0000 0.5000 0.5000
Rh 0.0619 0.7988 0.5000
Rh 0.2012 0.0619 0.5000
Rh 0.2988 0.5619 0.5000
Rh 0.4381 0.2988 0.5000
Rh 0.5000 0.0000 0.5000
Rh 0.5619 0.7012 0.5000
Rh 0.7012 0.4381 0.5000
Rh 0.7988 0.9381 0.5000
Rh 0.9381 0.2012 0.5000

# Sm2MgSn2Rh5

An optimized crystal structure of Sm2MgSn2Rh5 (PBE-GGA, Alexandria).

abc: 10.2777 10.2777 3.6972
angles: 90.00 90.00 90.00
Sites, in units of the cell vectors:
Sm 0.1701 0.3299 0.0000
Sm 0.3299 0.8299 0.0000
Sm 0.6701 0.1701 0.0000
Sm 0.8299 0.6701 0.0000
Mg 0.0000 0.0000 0.0000
Mg 0.5000 0.5000 0.0000
Sn 0.1292 0.6292 0.0000
Sn 0.3708 0.1292 0.0000
Sn 0.6292 0.8708 0.0000
Sn 0.8708 0.3708 0.0000
Rh 0.0000 0.5000 0.5000
Rh 0.0583 0.7987 0.5000
Rh 0.2013 0.0583 0.5000
Rh 0.2987 0.5583 0.5000
Rh 0.4417 0.2987 0.5000
Rh 0.5000 0.0000 0.5000
Rh 0.5583 0.7013 0.5000
Rh 0.7013 0.4417 0.5000
Rh 0.7987 0.9417 0.5000
Rh 0.9417 0.2013 0.5000

# Sm2MgSn3Rh4

An optimized crystal structure of Sm2MgSn3Rh4 (PBE-GGA, Alexandria).

abc: 4.3451 4.3451 11.1943
angles: 90.00 90.00 90.00
Sites, in units of the cell vectors:
Sm 0.0000 0.5000 0.2453
Sm 0.5000 0.0000 0.7547
Mg 0.0000 0.0000 0.5000
Sn 0.0000 0.5000 0.8691
Sn 0.5000 0.0000 0.1309
Sn 0.5000 0.5000 0.5000
Rh 0.0000 0.0000 0.0000
Rh 0.0000 0.5000 0.6379
Rh 0.5000 0.0000 0.3621
Rh 0.5000 0.5000 0.0000

# SmMg2SnRh4

An optimized crystal structure of SmMg2SnRh4 (PBE-GGA, Alexandria).

abc: 7.9802 7.9802 7.9802
angles: 33.41 33.41 33.41
Sites, in units of the cell vectors:
Sm 0.0000 0.0000 0.0000
Mg 0.2483 0.2483 0.2483
Mg 0.7517 0.7517 0.7517
Sn 0.5000 0.5000 0.5000
Rh 0.1290 0.1290 0.1290
Rh 0.3811 0.3811 0.3811
Rh 0.6189 0.6189 0.6189
Rh 0.8710 0.8710 0.8710

# TbSmMgRh

An optimized crystal structure of TbSmMgRh (PBE-GGA, Alexandria).

abc: 5.1170 5.1170 5.1170
angles: 60.00 60.00 60.00
Sites, in units of the cell vectors:
Tb 0.0000 0.0000 0.0000
Sm 0.5000 0.5000 0.5000
Mg 0.2500 0.2500 0.2500
Rh 0.7500 0.7500 0.7500

# Sm2MgTi2Rh5

An optimized crystal structure of Sm2MgTi2Rh5 (PBE-GGA, Alexandria).

abc: 10.1983 10.1983 3.5331
angles: 90.00 90.00 90.00
Sites, in units of the cell vectors:
Sm 0.1796 0.3204 0.0000
Sm 0.3204 0.8204 0.0000
Sm 0.6796 0.1796 0.0000
Sm 0.8204 0.6796 0.0000
Mg 0.0000 0.0000 0.0000
Mg 0.5000 0.5000 0.0000
Ti 0.1208 0.6208 0.0000
Ti 0.3792 0.1208 0.0000
Ti 0.6208 0.8792 0.0000
Ti 0.8792 0.3792 0.0000
Rh 0.0000 0.5000 0.5000
Rh 0.0627 0.7904 0.5000
Rh 0.2096 0.0627 0.5000
Rh 0.2904 0.5627 0.5000
Rh 0.4373 0.2904 0.5000
Rh 0.5000 0.0000 0.5000
Rh 0.5627 0.7096 0.5000
Rh 0.7096 0.4373 0.5000
Rh 0.7904 0.9373 0.5000
Rh 0.9373 0.2096 0.5000

# SmMgTlRh

An optimized crystal structure of SmMgTlRh (PBE-GGA, Alexandria).

abc: 4.9956 4.9956 4.9956
angles: 60.00 60.00 60.00
Sites, in units of the cell vectors:
Sm 0.0000 0.0000 0.0000
Mg 0.5000 0.5000 0.5000
Tl 0.2500 0.2500 0.2500
Rh 0.7500 0.7500 0.7500

# SmTmMgRh

An optimized crystal structure of SmTmMgRh (PBE-GGA, Alexandria).

abc: 5.0723 5.0723 5.0723
angles: 60.00 60.00 60.00
Sites, in units of the cell vectors:
Sm 0.0000 0.0000 0.0000
Tm 0.5000 0.5000 0.5000
Mg 0.7500 0.7500 0.7500
Rh 0.2500 0.2500 0.2500

# Sm2MgURh6

An optimized crystal structure of Sm2MgURh6 (PBE-GGA, Alexandria).

abc: 5.7788 5.7788 8.5292
angles: 109.68 109.68 60.12
Sites, in units of the cell vectors:
Sm 0.2093 0.2093 0.1291
Sm 0.7907 0.7907 0.8709
Mg 0.0000 0.0000 0.5000
U 0.5000 0.5000 0.0000
Rh 0.2327 0.7460 0.2264
Rh 0.2534 0.2534 0.7734
Rh 0.2540 0.7673 0.7736
Rh 0.7460 0.2327 0.2264
Rh 0.7466 0.7466 0.2266
Rh 0.7673 0.2540 0.7736

# SmY2MgRh4

An optimized crystal structure of SmY2MgRh4 (PBE-GGA, Alexandria).

abc: 8.3034 8.3034 8.3034
angles: 33.45 33.45 33.45
Sites, in units of the cell vectors:
Sm 0.0000 0.0000 0.0000
Y 0.2439 0.2439 0.2439
Y 0.7561 0.7561 0.7561
Mg 0.5000 0.5000 0.5000
Rh 0.1251 0.1251 0.1251
Rh 0.3773 0.3773 0.3773
Rh 0.6227 0.6227 0.6227
Rh 0.8749 0.8749 0.8749

# Mg3Sn2Rh7

An optimized crystal structure of Mg3Sn2Rh7 (PBE-GGA, Alexandria).

abc: 10.4646 10.4646 4.5139
angles: 90.00 90.00 155.09
Sites, in units of the cell vectors:
Mg 0.0000 0.0000 0.0000
Mg 0.1543 0.8457 0.0000
Mg 0.8457 0.1543 0.0000
Sn 0.3533 0.6467 0.5000
Sn 0.6467 0.3533 0.5000
Rh 0.0735 0.9265 0.5000
Rh 0.2171 0.7829 0.5000
Rh 0.4283 0.5717 0.0000
Rh 0.5000 0.5000 0.5000
Rh 0.5717 0.4283 0.0000
Rh 0.7829 0.2171 0.5000
Rh 0.9265 0.0735 0.5000

# Mg3SnRh4

An optimized crystal structure of Mg3SnRh4 (PBE-GGA, Alexandria).

abc: 7.7101 7.7101 7.7101
angles: 33.52 33.52 33.52
Sites, in units of the cell vectors:
Mg 0.0000 0.0000 0.0000
Mg 0.2534 0.2534 0.2534
Mg 0.7466 0.7466 0.7466
Sn 0.5000 0.5000 0.5000
Rh 0.1262 0.1262 0.1262
Rh 0.3764 0.3764 0.3764
Rh 0.6236 0.6236 0.6236
Rh 0.8738 0.8738 0.8738

# Mg6SnRh5

An optimized crystal structure of Mg6SnRh5 (PBE-GGA, Alexandria).

abc: 7.6905 7.6905 7.6905
angles: 146.41 129.44 62.07
Sites, in units of the cell vectors:
Mg 0.0536 0.3233 0.7303
Mg 0.2148 0.0000 0.2148
Mg 0.4069 0.6767 0.7303
Mg 0.5931 0.3233 0.2697
Mg 0.7852 0.0000 0.7852
Mg 0.9464 0.6767 0.2697
Sn 0.5000 0.5000 0.0000
Rh 0.0000 0.5000 0.5000
Rh 0.1711 0.1711 0.0000
Rh 0.3509 0.8509 0.5000
Rh 0.6491 0.1491 0.5000
Rh 0.8289 0.8289 0.0000

Computed values of energy relative to the elements (unit: meV per atom) for the preceding records, in sequence: -455, -685, -220, -659, -335, -365, -672, -509, -527, -677, -640, -366, -572, -325, -390, -393, -739, -287, -612, -475.
Computed values of total DFT energy (no corrections) (unit: eV per atom) for the preceding records, in sequence: -5.010, -6.460, -3.306, -6.174, -4.956, -5.003, -6.316, -5.848, -6.107, -5.922, -5.804, -4.940, -6.930, -4.332, -4.925, -7.036, -6.820, -5.641, -5.386, -4.669.
Computed values of spin magnetization (unit: μB/f.u.) for the preceding records, in sequence: 0.00, 0.00, 0.00, 0.00, 0.00, 0.00, 0.00, 0.00, 0.00, 0.00, 0.00, 0.00, 0.00, 0.00, 0.00, 0.00, 0.00, 1.23, 0.00, 0.00.